[1]
A relaxed TiCS3 crystal. Source: Alexandria, functional PBE.

Cell: 4.076 4.076 4.076 Å, 90.00 90.00 90.00°
Space group Pm-3m (No. 221)
Unique sites:
Ti 0.000 0.000 0.000 [1 per cell]
C 0.500 0.500 0.500 [1 per cell]
S 0.000 0.500 0.500 [3 per cell]

distance to the lowest polymorph of the same formula	0.0	kJ/mol of atoms
crystal system	cubic

***

[2]
A relaxed TiC3S crystal. Source: Alexandria, functional PBE.

Cell: 3.603 3.603 3.603 Å, 90.00 90.00 90.00°
Space group Pm-3m (No. 221)
Unique sites:
Ti 0.000 0.000 0.000 [1 per cell]
C 0.000 0.500 0.500 [3 per cell]
S 0.500 0.500 0.500 [1 per cell]

distance to the lowest polymorph of the same formula	0.0	kJ/mol of atoms
crystal system	cubic

***

[3]
A relaxed TiC3S crystal. Source: Alexandria, functional PBE.

Cell: 4.110 4.110 4.110 Å, 90.00 90.00 90.00°
Space group Pm-3m (No. 221)
Unique sites:
Ti 0.000 0.000 0.000 [1 per cell]
C 0.000 0.000 0.500 [3 per cell]
S 0.500 0.500 0.500 [1 per cell]

distance to the lowest polymorph of the same formula	46.2	kJ/mol of atoms
crystal system	cubic

***

[4]
A relaxed Ti3CS crystal. Source: Alexandria, functional PBE.

Cell: 4.151 4.151 4.151 Å, 90.00 90.00 90.00°
Space group Pm-3m (No. 221)
Unique sites:
Ti 0.000 0.000 0.500 [3 per cell]
C 0.000 0.000 0.000 [1 per cell]
S 0.500 0.500 0.500 [1 per cell]

distance to the lowest polymorph of the same formula	68.8	kJ/mol of atoms
crystal system	cubic

***

[5]
A relaxed Ti3CS crystal. Source: Alexandria, functional PBE.

Cell: 3.192 10.299 7.912 Å, 90.00 90.00 90.00°
Space group Cmcm (No. 63)
Unique sites:
Ti 0.000 0.065 0.250 [4 per cell]
Ti 0.000 0.368 0.059 [8 per cell]
C 0.000 0.000 0.000 [4 per cell]
S 0.000 0.257 0.750 [4 per cell]

distance to the lowest polymorph of the same formula	0.0	kJ/mol of atoms
crystal system	orthorhombic

***

[6]
A relaxed Ti2CS crystal. Source: Alexandria, functional PBE.

Cell: 5.127 5.127 9.857 Å, 90.00 90.00 90.00°
Space group I-42d (No. 122)
Unique sites:
Ti 0.190 0.250 0.125 [8 per cell]
C 0.000 0.000 0.000 [4 per cell]
S 0.000 0.000 0.500 [4 per cell]

distance to the lowest polymorph of the same formula	57.0	kJ/mol of atoms
crystal system	tetragonal

***

Number 1: E_form (uncorrected) 0.660 eV per atom, volume 13.55 Å³/atom, E -5.240 eV per atom. Number 2: E_form (uncorrected) 1.936 eV per atom, volume 9.36 Å³/atom, E -6.003 eV per atom. Number 3: E_form (uncorrected) 2.414 eV per atom, volume 13.89 Å³/atom, E -5.525 eV per atom. Number 4: E_form (uncorrected) -0.329 eV per atom, volume 14.30 Å³/atom, E -7.736 eV per atom. Number 5: E_form (uncorrected) -1.042 eV per atom, volume 13.01 Å³/atom, E -8.449 eV per atom. Number 6: E_form (uncorrected) -0.662 eV per atom, volume 16.19 Å³/atom, E -7.948 eV per atom.